! KLaSeN2 | the Alexandria database | PBE | relaxed; values from VASP
&SYSTEM
  ibrav = 0, nat = 5, ntyp = 4
/
ATOMIC_SPECIES
K 39.10 K.upf
La 138.91 La.upf
Se 78.96 Se.upf
N 14.01 N.upf
CELL_PARAMETERS angstrom
4.846 0.000 0.000
0.000 4.846 0.000
0.000 0.000 5.971
ATOMIC_POSITIONS crystal
K 0.000 0.000 0.000
La 0.500 0.500 0.500
Se 0.500 0.500 0.000
N 0.000 0.500 0.500
N 0.500 0.000 0.500
! DOS at the Fermi energy: 1.163 states/eV/cell
! raw formation energy: 0.210 eV/atom

=====

! PmZn12Cu6 | the Alexandria database | PBE | relaxed; values from VASP
&SYSTEM
  ibrav = 0, nat = 19, ntyp = 3
/
ATOMIC_SPECIES
Pm 145.00 Pm.upf
Zn 65.41 Zn.upf
Cu 63.55 Cu.upf
CELL_PARAMETERS angstrom
5.499 3.175 2.838
-5.499 3.175 2.838
0.000 -6.350 2.838
ATOMIC_POSITIONS crystal
Pm 0.000 0.000 0.000
Zn 0.113 0.500 0.887
Zn 0.113 0.887 0.500
Zn 0.142 0.400 0.400
Zn 0.400 0.142 0.400
Zn 0.400 0.400 0.142
Zn 0.500 0.113 0.887
Zn 0.500 0.887 0.113
Zn 0.600 0.600 0.858
Zn 0.600 0.858 0.600
Zn 0.858 0.600 0.600
Zn 0.887 0.113 0.500
Zn 0.887 0.500 0.113
Cu 0.280 0.280 0.704
Cu 0.280 0.704 0.280
Cu 0.296 0.720 0.720
Cu 0.704 0.280 0.280
Cu 0.720 0.296 0.720
Cu 0.720 0.720 0.296
! ΔE_f: -0.07 eV/atom
! DOS at the Fermi energy: 3.443 states/eV/cell

=====

! Tl2ZnSe2O6 | the Alexandria database | PBE | relaxed; values from VASP
&SYSTEM
  ibrav = 0, nat = 11, ntyp = 4
/
ATOMIC_SPECIES
Tl 204.38 Tl.upf
Zn 65.41 Zn.upf
Se 78.96 Se.upf
O 16.00 O.upf
CELL_PARAMETERS angstrom
4.435 -2.980 0.000
4.435 2.980 0.000
-2.145 0.000 7.350
ATOMIC_POSITIONS crystal
Tl 0.211 0.211 0.162
Tl 0.789 0.789 0.838
Zn 0.000 0.000 0.500
Se 0.391 0.391 0.717
Se 0.609 0.609 0.283
O 0.238 0.238 0.520
O 0.262 0.718 0.296
O 0.282 0.738 0.704
O 0.718 0.262 0.296
O 0.738 0.282 0.704
O 0.762 0.762 0.480
! DOS at the Fermi energy: 0.000 states/eV/cell
! raw formation energy: -0.872 eV/atom

=====

! LaSbRuI2 | the Alexandria database | PBE | relaxed; values from VASP
&SYSTEM
  ibrav = 0, nat = 5, ntyp = 4
/
ATOMIC_SPECIES
La 138.91 La.upf
Sb 121.76 Sb.upf
Ru 101.07 Ru.upf
I 126.90 I.upf
CELL_PARAMETERS angstrom
5.344 0.000 0.000
0.000 5.344 0.000
0.000 0.000 5.250
ATOMIC_POSITIONS crystal
La 0.000 0.000 0.000
Sb 0.500 0.500 0.000
Ru 0.500 0.500 0.500
I 0.000 0.500 0.500
I 0.500 0.000 0.500
! DOS at the Fermi energy: 5.003 states/eV/cell
! raw formation energy: -0.130 eV/atom

=====

! Pr7Ho3 | the Alexandria database | PBE | relaxed; values from VASP
&SYSTEM
  ibrav = 0, nat = 10, ntyp = 2
/
ATOMIC_SPECIES
Pr 140.91 Pr.upf
Ho 164.93 Ho.upf
CELL_PARAMETERS angstrom
9.331 -2.591 0.000
9.331 2.591 0.000
-1.473 0.000 7.148
ATOMIC_POSITIONS crystal
Pr 0.000 0.000 0.000
Pr 0.200 0.200 0.601
Pr 0.399 0.399 0.198
Pr 0.400 0.400 0.701
Pr 0.600 0.600 0.299
Pr 0.601 0.601 0.802
Pr 0.800 0.800 0.399
Ho 0.000 0.000 0.500
Ho 0.201 0.201 0.100
Ho 0.799 0.799 0.900
! ΔE_f: 0.01 eV/atom
! DOS at the Fermi energy: 14.498 states/eV/cell

=====

! NaTaNF2 | the Alexandria database | PBE | relaxed; values from VASP
&SYSTEM
  ibrav = 0, nat = 5, ntyp = 4
/
ATOMIC_SPECIES
Na 22.99 Na.upf
Ta 180.95 Ta.upf
N 14.01 N.upf
F 19.00 F.upf
CELL_PARAMETERS angstrom
3.608 0.000 0.000
0.000 3.608 0.000
0.000 0.000 4.577
ATOMIC_POSITIONS crystal
Na 0.000 0.000 0.000
Ta 0.500 0.500 0.500
N 0.000 0.000 0.500
F 0.000 0.500 0.000
F 0.500 0.000 0.000
! DOS at the Fermi energy: 3.067 states/eV/cell
! raw formation energy: -0.279 eV/atom

=====

! CeSi2Ge | the Alexandria database | PBE | relaxed; values from VASP
&SYSTEM
  ibrav = 0, nat = 4, ntyp = 3
/
ATOMIC_SPECIES
Ce 140.12 Ce.upf
Si 28.09 Si.upf
Ge 72.64 Ge.upf
CELL_PARAMETERS angstrom
2.428 1.402 6.201
-2.428 1.402 6.201
0.000 -2.804 6.201
ATOMIC_POSITIONS crystal
Ce 0.000 0.000 0.000
Si 0.378 0.378 0.378
Si 0.622 0.622 0.622
Ge 0.500 0.500 0.500
! DOS at the Fermi energy: 3.214 states/eV/cell
! raw formation energy: 0.426 eV/atom

=====

! Ti3Cu2Pd2 | the Alexandria database | PBE | relaxed; values from VASP
&SYSTEM
  ibrav = 0, nat = 7, ntyp = 3
/
ATOMIC_SPECIES
Ti 47.87 Ti.upf
Cu 63.55 Cu.upf
Pd 106.42 Pd.upf
CELL_PARAMETERS angstrom
5.010 -1.581 0.000
5.010 1.581 0.000
-1.009 0.000 6.632
ATOMIC_POSITIONS crystal
Ti 0.000 0.000 0.000
Ti 0.276 0.276 0.837
Ti 0.724 0.724 0.163
Cu 0.437 0.437 0.276
Cu 0.563 0.563 0.724
Pd 0.135 0.135 0.434
Pd 0.865 0.865 0.566
! ΔE_f: -0.25 eV/atom
! DOS at the Fermi energy: 4.818 states/eV/cell

=====

! InSn3Pb5 | the Alexandria database | PBE | relaxed; values from VASP
&SYSTEM
  ibrav = 0, nat = 18, ntyp = 3
/
ATOMIC_SPECIES
In 114.82 In.upf
Sn 118.71 Sn.upf
Pb 207.20 Pb.upf
CELL_PARAMETERS angstrom
6.931 -4.762 0.000
6.931 4.762 0.000
-4.833 0.000 9.671
ATOMIC_POSITIONS crystal
In 0.106 0.106 0.309
In 0.894 0.894 0.691
Sn 0.000 0.000 0.000
Sn 0.000 0.000 0.500
Sn 0.253 0.253 0.743
Sn 0.334 0.334 0.364
Sn 0.666 0.666 0.636
Sn 0.747 0.747 0.257
Pb 0.131 0.662 0.236
Pb 0.242 0.242 0.032
Pb 0.328 0.672 0.000
Pb 0.338 0.869 0.764
Pb 0.442 0.442 0.677
Pb 0.558 0.558 0.323
Pb 0.662 0.131 0.236
Pb 0.672 0.328 0.000
Pb 0.758 0.758 0.968
Pb 0.869 0.338 0.764
! ΔE_f: 0.19 eV/atom
! DOS at the Fermi energy: 10.022 states/eV/cell

=====

! Li2BiRh | the Alexandria database | PBE | relaxed; values from VASP
&SYSTEM
  ibrav = 0, nat = 4, ntyp = 3
/
ATOMIC_SPECIES
Li 6.94 Li.upf
Bi 208.98 Bi.upf
Rh 102.91 Rh.upf
CELL_PARAMETERS angstrom
4.000 0.000 0.000
0.000 4.000 0.000
0.000 0.000 4.275
ATOMIC_POSITIONS crystal
Li 0.000 0.500 0.000
Li 0.500 0.000 0.000
Bi 0.000 0.000 0.500
Rh 0.500 0.500 0.500
! ΔE_f: -0.28 eV/atom
! DOS at the Fermi energy: 2.143 states/eV/cell

=====

! ReTeP2Cl | the Alexandria database | PBE | relaxed; values from VASP
&SYSTEM
  ibrav = 0, nat = 5, ntyp = 4
/
ATOMIC_SPECIES
Re 186.21 Re.upf
Te 127.60 Te.upf
P 30.97 P.upf
Cl 35.45 Cl.upf
CELL_PARAMETERS angstrom
4.709 0.000 0.000
0.000 4.709 0.000
0.000 0.000 4.733
ATOMIC_POSITIONS crystal
Re 0.000 0.000 0.000
Te 0.500 0.500 0.500
P 0.000 0.500 0.000
P 0.500 0.000 0.000
Cl 0.000 0.000 0.500
! DOS at the Fermi energy: 4.101 states/eV/cell
! raw formation energy: 0.471 eV/atom

=====

! PmNd3Se4 | the Alexandria database | PBE | relaxed; values from VASP
&SYSTEM
  ibrav = 0, nat = 8, ntyp = 3
/
ATOMIC_SPECIES
Pm 145.00 Pm.upf
Nd 144.24 Nd.upf
Se 78.96 Se.upf
CELL_PARAMETERS angstrom
4.265 -5.974 0.000
4.265 5.974 0.000
0.000 0.000 4.178
ATOMIC_POSITIONS crystal
Pm 0.000 0.000 0.000
Nd 0.000 0.500 0.500
Nd 0.500 0.000 0.500
Nd 0.500 0.500 0.000
Se 0.248 0.248 0.500
Se 0.249 0.751 0.000
Se 0.751 0.249 0.000
Se 0.752 0.752 0.500
! DOS at the Fermi energy: 5.225 states/eV/cell
! raw formation energy: -1.836 eV/atom

=====

An optimized crystal structure of LiSnH2F8, computed with PBE. Values from VASP.

```
&SYSTEM
  ibrav = 0, nat = 12, ntyp = 4
/
ATOMIC_SPECIES
Li 6.94 Li.upf
Sn 118.71 Sn.upf
H 1.01 H.upf
F 19.00 F.upf
CELL_PARAMETERS angstrom
4.531 0.000 0.000
0.000 7.155 0.000
-1.879 0.000 4.301
ATOMIC_POSITIONS crystal
Li 0.000 0.000 0.000
Sn 0.000 0.500 0.000
H 0.500 0.281 0.500
H 0.500 0.719 0.500
F 0.251 0.500 0.755
F 0.266 0.279 0.275
F 0.266 0.721 0.275
F 0.294 0.000 0.809
F 0.706 0.000 0.191
F 0.734 0.279 0.725
F 0.734 0.721 0.725
F 0.749 0.500 0.245
```

=====

! Zn3Si5 | the Alexandria database | PBE | relaxed; values from VASP
&SYSTEM
  ibrav = 0, nat = 8, ntyp = 2
/
ATOMIC_SPECIES
Zn 65.41 Zn.upf
Si 28.09 Si.upf
CELL_PARAMETERS angstrom
3.413 0.000 0.000
0.000 3.413 0.000
0.000 0.000 10.780
ATOMIC_POSITIONS crystal
Zn 0.000 0.000 0.000
Zn 0.500 0.500 0.380
Zn 0.500 0.500 0.620
Si 0.000 0.000 0.244
Si 0.000 0.000 0.500
Si 0.000 0.000 0.756
Si 0.500 0.500 0.142
Si 0.500 0.500 0.858
! DOS at the Fermi energy: 1.463 states/eV/cell
! raw formation energy: 0.394 eV/atom

=====

! Li4SnBi | the Alexandria database | PBE | relaxed; values from VASP
&SYSTEM
  ibrav = 0, nat = 12, ntyp = 3
/
ATOMIC_SPECIES
Li 6.94 Li.upf
Sn 118.71 Sn.upf
Bi 208.98 Bi.upf
CELL_PARAMETERS angstrom
6.402 0.000 0.000
0.000 4.787 0.000
-1.813 0.000 7.865
ATOMIC_POSITIONS crystal
Li 0.106 0.250 0.450
Li 0.208 0.750 0.893
Li 0.254 0.250 0.106
Li 0.393 0.750 0.556
Li 0.607 0.250 0.444
Li 0.746 0.750 0.894
Li 0.792 0.250 0.107
Li 0.894 0.750 0.550
Sn 0.066 0.750 0.241
Sn 0.934 0.250 0.759
Bi 0.443 0.250 0.774
Bi 0.557 0.750 0.226
! ΔE_f: -0.39 eV/atom
! DOS at the Fermi energy: 5.917 states/eV/cell

=====

! CaCu2Sb | the Alexandria database | PBE | relaxed; values from VASP
&SYSTEM
  ibrav = 0, nat = 4, ntyp = 3
/
ATOMIC_SPECIES
Ca 40.08 Ca.upf
Cu 63.55 Cu.upf
Sb 121.76 Sb.upf
CELL_PARAMETERS angstrom
3.249 0.000 0.000
0.000 3.533 0.000
0.000 0.000 7.025
ATOMIC_POSITIONS crystal
Ca 0.000 0.000 0.000
Cu 0.000 0.000 0.574
Cu 0.500 0.500 0.715
Sb 0.500 0.500 0.332
! DOS at the Fermi energy: 1.585 states/eV/cell
! raw formation energy: -0.074 eV/atom

=====

! Ca2CeRh2 | the Alexandria database | PBE | relaxed; values from VASP
&SYSTEM
  ibrav = 0, nat = 10, ntyp = 3
/
ATOMIC_SPECIES
Ca 40.08 Ca.upf
Ce 140.12 Ce.upf
Rh 102.91 Rh.upf
CELL_PARAMETERS angstrom
5.561 -3.142 0.000
5.561 3.142 0.000
-0.973 0.000 7.252
ATOMIC_POSITIONS crystal
Ca 0.042 0.269 0.150
Ca 0.269 0.042 0.650
Ca 0.731 0.958 0.350
Ca 0.958 0.731 0.850
Ce 0.417 0.583 0.250
Ce 0.583 0.417 0.750
Rh 0.206 0.501 0.479
Rh 0.499 0.794 0.021
Rh 0.501 0.206 0.979
Rh 0.794 0.499 0.521
! ΔE_f: -0.56 eV/atom
! DOS at the Fermi energy: 6.580 states/eV/cell

=====

! ThNi2H8 | the Alexandria database | PBE | relaxed; values from VASP
&SYSTEM
  ibrav = 0, nat = 11, ntyp = 3
/
ATOMIC_SPECIES
Th 232.04 Th.upf
Ni 58.69 Ni.upf
H 1.01 H.upf
CELL_PARAMETERS angstrom
3.902 -3.613 0.000
3.902 3.613 0.000
-1.666 0.000 3.220
ATOMIC_POSITIONS crystal
Th 0.000 0.000 0.000
Ni 0.323 0.677 0.500
Ni 0.677 0.323 0.500
H 0.008 0.678 0.344
H 0.322 0.992 0.656
H 0.323 0.677 0.000
H 0.353 0.353 0.353
H 0.647 0.647 0.647
H 0.677 0.323 0.000
H 0.678 0.008 0.344
H 0.992 0.322 0.656
! DOS at the Fermi energy: 2.253 states/eV/cell

=====

! LiLaEuGa | the Alexandria database | PBE | relaxed; values from VASP
&SYSTEM
  ibrav = 0, nat = 4, ntyp = 4
/
ATOMIC_SPECIES
Li 6.94 Li.upf
La 138.91 La.upf
Eu 151.96 Eu.upf
Ga 69.72 Ga.upf
CELL_PARAMETERS angstrom
0.000 3.805 3.805
3.805 0.000 3.805
3.805 3.805 0.000
ATOMIC_POSITIONS crystal
Li 0.000 0.000 0.000
La 0.750 0.750 0.750
Eu 0.250 0.250 0.250
Ga 0.500 0.500 0.500
! ΔE_f: -0.25 eV/atom
! DOS at the Fermi energy: 9.154 states/eV/cell

=====

! PmDy2Y4Tm2 | the Alexandria database | PBE | relaxed; values from VASP
&SYSTEM
  ibrav = 0, nat = 9, ntyp = 4
/
ATOMIC_SPECIES
Pm 145.00 Pm.upf
Dy 162.50 Dy.upf
Y 88.91 Y.upf
Tm 168.93 Tm.upf
CELL_PARAMETERS angstrom
9.316 -1.794 0.000
9.316 1.794 0.000
-4.139 0.000 8.581
ATOMIC_POSITIONS crystal
Pm 0.000 0.000 0.000
Dy 0.149 0.149 0.668
Dy 0.851 0.851 0.332
Y 0.186 0.186 0.334
Y 0.481 0.481 0.665
Y 0.519 0.519 0.335
Y 0.814 0.814 0.666
Tm 0.332 0.332 0.000
Tm 0.668 0.668 0.000
! ΔE_f: 0.00 eV/atom
! DOS at the Fermi energy: 12.757 states/eV/cell

=====

! Li2PmZn9 | the Alexandria database | PBE | relaxed; values from VASP
&SYSTEM
  ibrav = 0, nat = 12, ntyp = 3
/
ATOMIC_SPECIES
Li 6.94 Li.upf
Pm 145.00 Pm.upf
Zn 65.41 Zn.upf
CELL_PARAMETERS angstrom
7.887 0.000 0.000
-3.944 6.831 0.000
0.000 0.000 3.732
ATOMIC_POSITIONS crystal
Li 0.333 0.667 0.000
Li 0.667 0.333 0.000
Pm 0.000 0.000 0.000
Zn 0.000 0.500 0.000
Zn 0.199 0.397 0.500
Zn 0.199 0.801 0.500
Zn 0.397 0.199 0.500
Zn 0.500 0.000 0.000
Zn 0.500 0.500 0.000
Zn 0.603 0.801 0.500
Zn 0.801 0.199 0.500
Zn 0.801 0.603 0.500
! ΔE_f: -0.05 eV/atom
! DOS at the Fermi energy: 3.115 states/eV/cell

=====

! CuIr2Os | the Alexandria database | PBE | relaxed; values from VASP
&SYSTEM
  ibrav = 0, nat = 4, ntyp = 3
/
ATOMIC_SPECIES
Cu 63.55 Cu.upf
Ir 192.22 Ir.upf
Os 190.23 Os.upf
CELL_PARAMETERS angstrom
1.371 0.791 8.649
-1.371 0.791 8.649
0.000 -1.583 8.649
ATOMIC_POSITIONS crystal
Cu 0.000 0.000 0.000
Ir 0.250 0.250 0.250
Ir 0.750 0.750 0.750
Os 0.500 0.500 0.500
! ΔE_f: 0.09 eV/atom
! DOS at the Fermi energy: 6.319 states/eV/cell

=====

! AlHgTe2N | the Alexandria database | PBE | relaxed; values from VASP
&SYSTEM
  ibrav = 0, nat = 5, ntyp = 4
/
ATOMIC_SPECIES
Al 26.98 Al.upf
Hg 200.59 Hg.upf
Te 127.60 Te.upf
N 14.01 N.upf
CELL_PARAMETERS angstrom
5.856 0.000 0.000
0.000 5.856 0.000
0.000 0.000 4.042
ATOMIC_POSITIONS crystal
Al 0.000 0.000 0.000
Hg 0.500 0.500 0.500
Te 0.000 0.500 0.500
Te 0.500 0.000 0.500
N 0.500 0.500 0.000
! DOS at the Fermi energy: 3.308 states/eV/cell
! raw formation energy: 1.158 eV/atom

=====

! LaZn2Ni2 | the Alexandria database | PBE | relaxed; values from VASP
&SYSTEM
  ibrav = 0, nat = 5, ntyp = 3
/
ATOMIC_SPECIES
La 138.91 La.upf
Zn 65.41 Zn.upf
Ni 58.69 Ni.upf
CELL_PARAMETERS angstrom
-1.994 1.994 5.469
1.994 -1.994 5.469
1.994 1.994 -5.469
ATOMIC_POSITIONS crystal
La 0.000 0.000 0.000
Zn 0.250 0.750 0.500
Zn 0.750 0.250 0.500
Ni 0.390 0.390 0.000
Ni 0.610 0.610 0.000
! ΔE_f: -0.35 eV/atom
! DOS at the Fermi energy: 2.985 states/eV/cell

=====

no.,electronic total energy (eV/atom),mass density (Mg/m³)
1,-5.022,3.4
2,-2.417,7.3
3,-4.756,6.2
4,-4.415,6.8
5,-4.704,7.1
6,-5.327,7.1
7,-4.924,3.5
8,-6.283,7.6
9,-3.506,7.8
10,-4.047,7.9
11,-5.180,6.5
12,-5.960,7.0
13,-4.199,3.3
14,-3.473,4.5
15,-2.975,4.9
16,-3.654,5.9
17,-5.486,5.6
18,-4.305,6.5
19,-5.287,5.5
20,-5.414,6.7
21,-1.719,6.2
22,-8.168,18.8
23,-2.573,6.0
24,-4.153,7.4